Ca2ZrSe (PBE, relaxed); space group = No. 216; energy relative to the elements, uncorrected = 0.11 eV/atom; calculated density = 3.999 g cm⁻³; electronic total energy = -15.6 eV/cell
1.0
0.000 3.732 3.732
3.732 0.000 3.732
3.732 3.732 0.000
Ca Zr Se
2 1 1
Cartesian
0.000 0.000 0.000 Ca
1.866 1.866 1.866 Ca
3.732 3.732 3.732 Zr
5.598 5.598 5.598 Se

CaZr2Se (PBE, relaxed); space group = No. 99; energy relative to the elements, uncorrected = -0.54 eV/atom; calculated density = 5.110 g cm⁻³; electronic total energy = -24.8 eV/cell
1.0
3.377 0.000 0.000
0.000 3.377 0.000
0.000 0.000 8.589
Ca Zr Se
1 2 1
Cartesian
0.000 0.000 0.000 Ca
0.000 0.000 3.666 Zr
1.689 1.689 5.757 Zr
1.689 1.689 2.014 Se

CaZrSe (PBE, relaxed); space group = No. 156; energy relative to the elements, uncorrected = -0.82 eV/atom; calculated density = 4.534 g cm⁻³; electronic total energy = -16.5 eV/cell; offset from the most stable computed form = 183.7 meV per atom
1.0
3.694 0.000 0.000
-1.847 3.199 0.000
0.000 0.000 6.517
Ca Zr Se
1 1 1
Cartesian
0.000 0.000 0.000 Ca
1.847 1.066 3.663 Zr
0.000 2.133 1.982 Se

CaZr2Se (PBE, relaxed); space group = No. 65; energy relative to the elements, uncorrected = -0.29 eV/atom; calculated density = 5.005 g cm⁻³; electronic total energy = -23.7 eV/cell
1.0
2.367 -2.371 0.000
2.367 2.371 0.000
0.000 0.000 8.912
Ca Zr Se
1 2 1
Cartesian
0.000 0.000 0.000 Ca
2.367 0.000 2.849 Zr
2.367 0.000 6.063 Zr
0.000 0.000 4.456 Se

Ca2ZrSe (PBE, relaxed); space group = No. 65; energy relative to the elements, uncorrected = -0.22 eV/atom; calculated density = 3.934 g cm⁻³; electronic total energy = -16.9 eV/cell
1.0
3.064 -4.806 0.000
3.064 4.806 0.000
0.000 0.000 3.588
Ca Zr Se
2 1 1
Cartesian
1.532 2.403 0.000 Ca
1.532 -2.403 0.000 Ca
0.000 0.000 1.794 Zr
3.064 0.000 1.794 Se

CaZrSe (PBE, relaxed); space group = No. 44; energy relative to the elements, uncorrected = -0.91 eV/atom; calculated density = 4.501 g cm⁻³; electronic total energy = -33.5 eV/cell; offset from the most stable computed form = 91.7 meV per atom
1.0
-1.902 2.130 9.575
1.902 -2.130 9.575
1.902 2.130 -9.575
Ca Zr Se
2 2 2
Cartesian
0.000 0.000 0.000 Ca
0.000 2.130 3.350 Ca
1.902 0.000 6.228 Zr
0.000 2.130 6.639 Zr
1.902 0.000 2.314 Se
0.000 0.000 8.491 Se

Ca2ZrSe (PBE, relaxed); space group = No. 122; energy relative to the elements, uncorrected = -0.21 eV/atom; calculated density = 3.268 g cm⁻³; electronic total energy = -33.8 eV/cell
1.0
-4.894 4.894 2.656
4.894 -4.894 2.656
4.894 4.894 -2.656
Ca Zr Se
4 2 2
Cartesian
7.340 1.354 -0.664 Ca
1.354 2.447 0.664 Ca
-2.447 3.539 1.992 Ca
3.539 2.447 3.320 Ca
4.894 0.000 1.328 Zr
0.000 0.000 2.656 Zr
0.000 0.000 0.000 Se
0.000 4.894 1.328 Se

Ca2ZrSe4 (PBE, relaxed); space group = No. 55; energy relative to the elements, uncorrected = -1.68 eV/atom; calculated density = 4.368 g cm⁻³; electronic total energy = -76.4 eV/cell
1.0
7.395 0.000 0.000
0.000 12.344 0.000
0.000 0.000 4.058
Ca Zr Se
4 2 8
Cartesian
0.765 2.271 0.000 Ca
2.933 8.443 0.000 Ca
4.462 3.901 0.000 Ca
6.630 10.073 0.000 Ca
0.000 6.172 2.029 Zr
3.697 0.000 2.029 Zr
0.852 8.724 2.029 Se
1.780 5.617 0.000 Se
1.917 11.789 0.000 Se
2.845 2.552 2.029 Se
4.549 9.793 2.029 Se
5.477 0.555 0.000 Se
5.615 6.727 0.000 Se
6.542 3.620 2.029 Se

CaZr2Se (PBE, relaxed); space group = No. 71; energy relative to the elements, uncorrected = -0.44 eV/atom; calculated density = 5.179 g cm⁻³; electronic total energy = -24.3 eV/cell
1.0
-1.662 2.418 6.013
1.662 -2.418 6.013
1.662 2.418 -6.013
Ca Zr Se
1 2 1
Cartesian
0.000 0.000 0.000 Ca
1.662 0.000 3.568 Zr
0.000 2.418 2.445 Zr
0.000 0.000 6.013 Se

CaZr2Se (PBE, relaxed); space group = No. 123; energy relative to the elements, uncorrected = -0.19 eV/atom; calculated density = 5.236 g cm⁻³; electronic total energy = -23.3 eV/cell
1.0
4.143 0.000 0.000
0.000 4.143 0.000
0.000 0.000 5.571
Ca Zr Se
1 2 1
Cartesian
0.000 0.000 0.000 Ca
0.000 2.071 2.786 Zr
2.071 0.000 2.786 Zr
2.071 2.071 0.000 Se

CaZr2Se (PBE, relaxed); space group = No. 12; energy relative to the elements, uncorrected = -0.18 eV/atom; calculated density = 5.132 g cm⁻³; electronic total energy = -23.3 eV/cell
1.0
2.943 -5.813 0.000
2.943 5.813 0.000
-2.172 0.000 2.851
Ca Zr Se
1 2 1
Cartesian
0.000 0.000 0.000 Ca
1.472 2.906 0.000 Zr
1.472 -2.906 0.000 Zr
2.943 0.000 0.000 Se

Ca3Si23 (PBE, relaxed); space group = No. 223; energy relative to the elements, uncorrected = -0.02 eV/atom; calculated density = 2.398 g cm⁻³; electronic total energy = -262.5 eV/cell
1.0
10.200 0.000 0.000
0.000 10.200 0.000
0.000 0.000 10.200
Ca Si
6 46
Cartesian
0.000 2.550 5.100 Ca
0.000 7.650 5.100 Ca
2.550 5.100 0.000 Ca
5.100 0.000 2.550 Ca
5.100 0.000 7.650 Ca
7.650 5.100 0.000 Ca
0.000 3.136 1.203 Si
0.000 3.136 8.997 Si
0.000 5.100 2.550 Si
0.000 5.100 7.650 Si
0.000 7.064 1.203 Si
0.000 7.064 8.997 Si
1.203 0.000 3.136 Si
1.203 0.000 7.064 Si
1.880 1.880 1.880 Si
1.880 1.880 8.321 Si
1.880 8.321 1.880 Si
1.880 8.321 8.321 Si
1.964 5.100 3.897 Si
1.964 5.100 6.304 Si
2.550 0.000 5.100 Si
3.136 1.203 0.000 Si
3.136 8.997 0.000 Si
3.220 3.220 3.220 Si
3.220 3.220 6.980 Si
3.220 6.980 3.220 Si
3.220 6.980 6.980 Si
3.897 1.964 5.100 Si
3.897 8.236 5.100 Si
5.100 2.550 0.000 Si
5.100 3.897 1.964 Si
5.100 3.897 8.236 Si
5.100 6.304 1.964 Si
5.100 6.304 8.236 Si
5.100 7.650 0.000 Si
6.304 1.964 5.100 Si
6.304 8.236 5.100 Si
6.980 3.220 3.220 Si
6.980 3.220 6.980 Si
6.980 6.980 3.220 Si
6.980 6.980 6.980 Si
7.064 1.203 0.000 Si
7.064 8.997 0.000 Si
7.650 0.000 5.100 Si
8.236 5.100 3.897 Si
8.236 5.100 6.304 Si
8.321 1.880 1.880 Si
8.321 1.880 8.321 Si
8.321 8.321 1.880 Si
8.321 8.321 8.321 Si
8.997 0.000 3.136 Si
8.997 0.000 7.064 Si

CaSi23 (PBE, relaxed); space group = No. 223; energy relative to the elements, uncorrected = 0.04 eV/atom; calculated density = 2.127 g cm⁻³; electronic total energy = -251.7 eV/cell
1.0
10.231 0.000 0.000
0.000 10.231 0.000
0.000 0.000 10.231
Ca Si
2 46
Cartesian
0.000 0.000 0.000 Ca
5.116 5.116 5.116 Ca
0.000 1.192 3.156 Si
0.000 1.192 7.076 Si
0.000 2.558 5.116 Si
0.000 7.673 5.116 Si
0.000 9.039 3.156 Si
0.000 9.039 7.076 Si
1.192 3.156 0.000 Si
1.192 7.076 0.000 Si
1.876 1.876 1.876 Si
1.876 1.876 8.355 Si
1.876 8.355 1.876 Si
1.876 8.355 8.355 Si
1.960 3.923 5.116 Si
1.960 6.308 5.116 Si
2.558 5.116 0.000 Si
3.156 0.000 1.192 Si
3.156 0.000 9.039 Si
3.239 3.239 3.239 Si
3.239 3.239 6.992 Si
3.239 6.992 3.239 Si
3.239 6.992 6.992 Si
3.923 5.116 1.960 Si
3.923 5.116 8.271 Si
5.116 0.000 2.558 Si
5.116 0.000 7.673 Si
5.116 1.960 3.923 Si
5.116 1.960 6.308 Si
5.116 8.271 3.923 Si
5.116 8.271 6.308 Si
6.308 5.116 1.960 Si
6.308 5.116 8.271 Si
6.992 3.239 3.239 Si
6.992 3.239 6.992 Si
6.992 6.992 3.239 Si
6.992 6.992 6.992 Si
7.076 0.000 1.192 Si
7.076 0.000 9.039 Si
7.673 5.116 0.000 Si
8.271 3.923 5.116 Si
8.271 6.308 5.116 Si
8.355 1.876 1.876 Si
8.355 1.876 8.355 Si
8.355 8.355 1.876 Si
8.355 8.355 8.355 Si
9.039 3.156 0.000 Si
9.039 7.076 0.000 Si

Ca2Si (PBE, relaxed); space group = No. 12; energy relative to the elements, uncorrected = -0.22 eV/atom; calculated density = 2.167 g cm⁻³; electronic total energy = -20.2 eV/cell
1.0
6.268 -1.697 0.000
6.268 1.697 0.000
-2.865 0.000 7.796
Ca Si
4 2
Cartesian
1.483 0.000 0.156 Ca
0.081 0.000 4.663 Ca
9.589 0.000 3.133 Ca
8.187 0.000 7.640 Ca
3.553 0.000 5.633 Si
6.117 0.000 2.163 Si

CaSi3 (PBE, relaxed); space group = No. 139; energy relative to the elements, uncorrected = -0.18 eV/atom; calculated density = 2.791 g cm⁻³; electronic total energy = -76.0 eV/cell
1.0
-3.603 3.603 5.700
3.603 -3.603 5.700
3.603 3.603 -5.700
Ca Si
4 12
Cartesian
0.000 0.000 1.979 Ca
3.603 0.000 2.850 Ca
0.000 3.603 2.850 Ca
0.000 0.000 9.421 Ca
2.415 0.000 0.000 Si
4.790 0.000 0.000 Si
2.275 2.275 -1.212 Si
1.327 -1.327 4.488 Si
0.000 2.415 0.000 Si
2.275 2.275 1.212 Si
1.327 -1.327 6.913 Si
-1.327 1.327 4.488 Si
1.327 1.327 4.488 Si
0.000 4.790 0.000 Si
-1.327 1.327 6.913 Si
1.327 1.327 6.913 Si

CaSi3 (PBE, relaxed); space group = No. 166; energy relative to the elements, uncorrected = 0.33 eV/atom; calculated density = 2.840 g cm⁻³; electronic total energy = -17.0 eV/cell
1.0
4.747 2.741 0.931
-4.747 2.741 0.931
0.000 -5.481 0.931
Ca Si
1 3
Cartesian
0.000 0.000 0.000 Ca
-2.373 -1.370 0.931 Si
-2.373 1.370 1.862 Si
0.000 2.741 0.931 Si

CaSi3 (PBE, relaxed); space group = No. 166; energy relative to the elements, uncorrected = 0.17 eV/atom; calculated density = 2.499 g cm⁻³; electronic total energy = -17.6 eV/cell
1.0
1.798 1.038 7.376
-1.798 1.038 7.376
0.000 -2.076 7.376
Ca Si
1 3
Cartesian
0.000 0.000 0.000 Ca
0.000 0.000 5.094 Si
0.000 0.000 11.064 Si
0.000 0.000 17.034 Si

Ca2Si (PBE, relaxed); space group = No. 139; energy relative to the elements, uncorrected = -0.24 eV/atom; calculated density = 2.071 g cm⁻³; electronic total energy = -10.1 eV/cell
1.0
-1.761 1.761 6.998
1.761 -1.761 6.998
1.761 1.761 -6.998
Ca Si
2 1
Cartesian
0.000 0.000 1.814 Ca
0.000 0.000 12.182 Ca
0.000 0.000 6.998 Si

Ca4Si23 (PBE, relaxed); space group = No. 223; energy relative to the elements, uncorrected = -0.06 eV/atom; calculated density = 2.510 g cm⁻³; electronic total energy = -268.8 eV/cell
1.0
10.218 0.000 0.000
0.000 10.218 0.000
0.000 0.000 10.218
Ca Si
8 46
Cartesian
0.000 0.000 0.000 Ca
0.000 2.555 5.109 Ca
0.000 7.664 5.109 Ca
2.555 5.109 0.000 Ca
5.109 0.000 2.555 Ca
5.109 0.000 7.664 Ca
5.109 5.109 5.109 Ca
7.664 5.109 0.000 Ca
0.000 3.146 1.203 Si
0.000 3.146 9.016 Si
0.000 5.109 2.555 Si
0.000 5.109 7.664 Si
0.000 7.072 1.203 Si
0.000 7.072 9.016 Si
1.203 0.000 3.146 Si
1.203 0.000 7.072 Si
1.880 1.880 1.880 Si
1.880 1.880 8.338 Si
1.880 8.338 1.880 Si
1.880 8.338 8.338 Si
1.963 5.109 3.907 Si
1.963 5.109 6.312 Si
2.555 0.000 5.109 Si
3.146 1.203 0.000 Si
3.146 9.016 0.000 Si
3.229 3.229 3.229 Si
3.229 3.229 6.990 Si
3.229 6.990 3.229 Si
3.229 6.990 6.990 Si
3.907 1.963 5.109 Si
3.907 8.255 5.109 Si
5.109 2.555 0.000 Si
5.109 3.907 1.963 Si
5.109 3.907 8.255 Si
5.109 6.312 1.963 Si
5.109 6.312 8.255 Si
5.109 7.664 0.000 Si
6.312 1.963 5.109 Si
6.312 8.255 5.109 Si
6.990 3.229 3.229 Si
6.990 3.229 6.990 Si
6.990 6.990 3.229 Si
6.990 6.990 6.990 Si
7.072 1.203 0.000 Si
7.072 9.016 0.000 Si
7.664 0.000 5.109 Si
8.255 5.109 3.907 Si
8.255 5.109 6.312 Si
8.338 1.880 1.880 Si
8.338 1.880 8.338 Si
8.338 8.338 1.880 Si
8.338 8.338 8.338 Si
9.016 0.000 3.146 Si
9.016 0.000 7.072 Si

Ca2Si3 (PBE, relaxed); space group = No. 166; energy relative to the elements, uncorrected = -0.22 eV/atom; calculated density = 2.301 g cm⁻³; electronic total energy = -21.4 eV/cell; offset from the most stable computed form = 193.1 meV per atom
1.0
1.923 1.110 9.262
-1.923 1.110 9.262
0.000 -2.220 9.262
Ca Si
2 3
Cartesian
0.000 0.000 2.566 Ca
0.000 0.000 25.221 Ca
0.000 0.000 8.832 Si
0.000 0.000 13.894 Si
0.000 0.000 18.955 Si